GGA+U Mn2Ag2AsO6, relaxed; magnetization = 9.0 μB/f.u.; symmetry = C2/m (12); raw total energy = -66.9 eV per cell
1.0
-4.624 0.605 -2.528
1.374 -4.844 1.669
-2.762 1.112 5.392
Mn O As Ag
2 6 1 2
Direct
0.334 0.666 0.500
0.666 0.334 0.500
0.288 0.982 0.673
0.296 0.296 0.349
0.704 0.704 0.651
0.712 0.018 0.327
0.982 0.288 0.673
0.018 0.712 0.327
0.000 0.000 0.500
0.159 0.841 0.000
0.841 0.159 0.000